(1)
A relaxed structure of LiBP2. Source: the Alexandria database, functional GGA-PBEsol. Values from VASP.

Geometry as Quantum ESPRESSO input:
```
&SYSTEM
  ibrav = 0, nat = 8, ntyp = 3
/
ATOMIC_SPECIES
P 30.97 P.upf
B 10.81 B.upf
Li 6.94 Li.upf
CELL_PARAMETERS angstrom
6.085 0.000 0.000
-3.042 3.926 0.993
0.000 3.447 5.014
ATOMIC_POSITIONS crystal
P 0.055 0.750 0.875
P 0.695 0.750 0.375
P 0.375 0.250 0.055
P 0.875 0.250 0.695
B 0.750 0.500 0.750
B 0.000 0.000 0.000
Li 0.250 0.500 0.250
Li 0.500 0.000 0.500
```

## Properties
total magnetic moment: 0.00 μB/cell
E_form: -0.098 eV per atom

(2)
A relaxed structure of Ca2LaBe. Source: the Alexandria database, functional GGA-PBEsol. Values from VASP.

Geometry as Quantum ESPRESSO input:
```
&SYSTEM
  ibrav = 0, nat = 4, ntyp = 3
/
ATOMIC_SPECIES
Be 9.01 Be.upf
Ca 40.08 Ca.upf
La 138.91 La.upf
CELL_PARAMETERS angstrom
3.561 0.000 0.000
0.000 3.561 0.000
0.000 0.000 9.508
ATOMIC_POSITIONS crystal
Be 0.000 0.000 0.748
Ca 0.500 0.500 0.929
Ca 0.000 0.000 0.252
La 0.500 0.500 0.571
```

## Properties
total magnetic moment: 0.00 μB/cell
E_form: 0.174 eV per atom